Below is a geometry-optimized SmEuMgRu structure, with properties calculated at the PBE level.

D(E_F) = 0.643 states/eV/atom
VASP energy = -25.83 eV per cell
Formation energy from the elements = 0.009 eV per atom

POSCAR file:
```
SmEuMgRu
1.0
0.0000 3.6314 3.6314
3.6314 0.0000 3.6314
3.6314 3.6314 0.0000
Sm Eu Mg Ru
1 1 1 1
direct
0.0000 0.0000 0.0000
0.5000 0.5000 0.5000
0.7500 0.7500 0.7500
0.2500 0.2500 0.2500
```